Record 1
A plane-wave DFT calculation with PBE was carried out for a relaxed structure of PmSm2HoTl2.

## Properties
Space-group type: No. 26

Lattice parameters (Å, degrees): 5.178 10.150 6.900 90.00 90.00 90.00
Sites, in units of the cell vectors:
Pm1 0.000 0.043 0.000
Pm2 0.000 0.957 0.500
Sm1 0.000 0.317 0.371
Sm2 0.000 0.683 0.871
Sm3 0.500 0.455 0.092
Sm4 0.500 0.545 0.592
Ho1 0.500 0.188 0.719
Ho2 0.500 0.812 0.219
Tl1 0.000 0.360 0.836
Tl2 0.000 0.640 0.336
Tl3 0.500 0.130 0.261
Tl4 0.500 0.870 0.761



Record 2
A plane-wave DFT calculation with PBE was carried out for a relaxed structure of Pm2Sm4HoTm.

## Properties
Space-group type: No. 15

Lattice parameters (Å, degrees): 9.543 9.543 6.864 110.99 110.99 88.22
Sites, in units of the cell vectors:
Pm1 0.000 0.000 0.000
Pm2 0.000 0.000 0.500
Pm3 0.000 0.500 0.000
Pm4 0.500 0.000 0.500
Sm1 0.251 0.255 0.527
Sm2 0.253 0.742 0.497
Sm3 0.255 0.251 0.027
Sm4 0.258 0.747 0.003
Sm5 0.742 0.253 0.997
Sm6 0.745 0.749 0.973
Sm7 0.747 0.258 0.503
Sm8 0.749 0.745 0.473
Ho1 0.000 0.500 0.500
Ho2 0.500 0.000 0.000
Tm1 0.500 0.500 0.000
Tm2 0.500 0.500 0.500



Spin magnetization values, unit Bohr magnetons per cell, following the record order: 0.00 0.09.
Raw total energy values, unit eV/atom, following the record order: -4.19 -4.27.